No. 1
Computed, not measured: a relaxed structure of LiNdO3 at the PBE level of DFT.

Calculated values
**DFT total energy**: -127.6 eV per cell

a b c (Å): 5.9408 5.7625 7.2578
angles (deg): 90.00 90.00 90.00
Closest atoms and distances in Å follow each position.
Fractional coordinates of all 20 atoms:
Li1 0.5634 0.4875 0.7500  4 O 1.87-1.92
O1 0.6775 0.1844 0.7500  2 Li 1.87-1.91
Li2 0.9366 0.9875 0.7500  4 O 1.87-1.92
Nd1 0.0000 0.5000 0.5000  6 O 2.35-2.42
O2 0.1775 0.3156 0.2500  2 Li 1.87-1.91
O3 0.8250 0.8278 0.1471  1 O 1.49
O4 0.3225 0.8156 0.2500  2 Li 1.87-1.91
O5 0.6750 0.3278 0.3529  1 O 1.49
O6 0.1750 0.1722 0.6471  1 O 1.49
Li3 0.4366 0.5125 0.2500  4 O 1.87-1.92
Nd2 0.5000 0.0000 0.5000  6 O 2.35-2.42
O7 0.6750 0.3278 0.1471  1 O 1.49
O8 0.3250 0.6722 0.8529  1 O 1.49
O9 0.8250 0.8278 0.3529  1 O 1.49
Li4 0.0634 0.0125 0.2500  4 O 1.87-1.92
Nd3 0.0000 0.5000 0.0000  6 O 2.35-2.42
O10 0.3250 0.6722 0.6471  1 O 1.49
O11 0.8225 0.6844 0.7500  2 Li 1.87-1.91
Nd4 0.5000 0.0000 0.0000  6 O 2.35-2.42
O12 0.1750 0.1722 0.8529  1 O 1.49

=====

No. 2
Computed, not measured: a relaxed structure of Li8NdO6 at the PBE level of DFT.

Calculated values
**DFT total energy**: -78.9 eV per cell

a b c (Å): 6.3213 6.3213 6.3213
angles (deg): 52.92 52.92 52.92
Closest atoms and distances in Å follow each position.
Fractional coordinates of all 15 atoms:
Li1 0.3560 0.3560 0.3560  3 O 2.11
Li2 0.7769 0.4920 0.1029  4 O 1.88-2.03
Nd1 0.0000 0.0000 0.0000  6 O 2.33
O1 0.5939 0.2477 0.8957  4 Li 1.88-2.03
Li3 0.4920 0.1029 0.7769  4 O 1.88-2.03
O2 0.7523 0.1043 0.4061  4 Li 1.88-2.03
Li4 0.6440 0.6440 0.6440  3 O 2.11
O3 0.8957 0.5939 0.2477  4 Li 1.88-2.03
O4 0.2477 0.8957 0.5939  4 Li 1.88-2.03
Li5 0.1029 0.7769 0.4920  4 O 1.88-2.03
O5 0.1043 0.4061 0.7523  4 Li 1.88-2.03
Li6 0.2231 0.5080 0.8971  4 O 1.88-2.03
Li7 0.5080 0.8971 0.2231  4 O 1.88-2.03
Li8 0.8971 0.2231 0.5080  4 O 1.88-2.03
O6 0.4061 0.7523 0.1043  4 Li 1.88-2.03

=====

No. 3
Computed, not measured: a relaxed structure of LiNdO3 at the PBE level of DFT.

Calculated values
**DFT total energy**: -125.2 eV per cell

a b c (Å): 5.1306 5.8128 7.4869
angles (deg): 90.00 90.00 90.00
Closest atoms and distances in Å follow each position.
Fractional coordinates of all 20 atoms:
Li1 0.0000 0.5000 0.0000  6 O 1.91-2.09
O1 0.9339 0.4759 0.7500  2 Li 1.91
O2 0.0661 0.5241 0.2500  2 Li 1.91
O3 0.8267 0.7938 0.0435  2 Li 1.95-2.09
O4 0.3267 0.7062 0.5435  2 Li 1.95-2.09
Nd1 0.0330 0.9048 0.7500  8 O 2.43-2.54
O5 0.8267 0.7938 0.4565  2 Li 1.95-2.09
Nd2 0.4670 0.4048 0.7500  8 O 2.43-2.54
O6 0.1733 0.2062 0.9565  2 Li 1.95-2.09
O7 0.5661 0.9759 0.7500  2 Li 1.91
Nd3 0.5330 0.5952 0.2500  8 O 2.43-2.54
O8 0.1733 0.2062 0.5435  2 Li 1.95-2.09
Li2 0.5000 0.0000 0.5000  6 O 1.91-2.09
O9 0.6733 0.2938 0.0435  2 Li 1.95-2.09
O10 0.6733 0.2938 0.4565  2 Li 1.95-2.09
Nd4 0.9670 0.0952 0.2500  8 O 2.43-2.54
Li3 0.5000 0.0000 0.0000  6 O 1.91-2.09
Li4 0.0000 0.5000 0.5000  6 O 1.91-2.09
O11 0.3267 0.7062 0.9565  2 Li 1.95-2.09
O12 0.4339 0.0241 0.2500  2 Li 1.91

=====

No. 4
Computed, not measured: a relaxed structure of Li6Nd2O7 at the PBE level of DFT.

Calculated values
**DFT total energy**: -86.5 eV per cell

a b c (Å): 5.7272 6.2161 5.6815
angles (deg): 83.33 101.05 112.99
Closest atoms and distances in Å follow each position.
Fractional coordinates of all 15 atoms:
Li1 0.4580 0.3960 0.3317  4 O 1.94-2.02
O1 0.2500 0.8124 0.8750  2 Nd 2.25-2.26, 4 Li 2.28-2.43
Li2 0.9992 0.9875 0.9687  3 O 2.01-2.14
Nd1 0.5099 0.9019 0.2314  6 O 2.26-2.42
Li3 0.8724 0.5026 0.9987  3 O 1.87-2.02
Li4 0.0420 0.2291 0.4183  4 O 1.94-2.02
O2 0.7005 0.6506 0.1414  3 Li 1.91-2.14
O3 0.8478 0.1942 0.0785  4 Li 1.87-2.02
O4 0.7995 0.9744 0.6086  3 Li 1.91-2.14
Li5 0.5007 0.6374 0.7813  3 O 2.01-2.14
O5 0.2293 0.0706 0.2968  3 Li 1.94-2.06
O6 0.6522 0.4309 0.6715  4 Li 1.87-2.02
Li6 0.6278 0.1226 0.7513  3 O 1.87-2.02
O7 0.2707 0.5543 0.4532  3 Li 1.94-2.06
Nd2 0.9901 0.7231 0.5186  6 O 2.25-2.42

=====

No. 5
Computed, not measured: a relaxed structure of LiNdO3 at the PBE level of DFT.

Calculated values
**DFT total energy**: -62.5 eV per cell

a b c (Å): 5.1042 5.1042 5.1042
angles (deg): 66.62 66.62 66.62
Closest atoms and distances in Å follow each position.
Fractional coordinates of all 10 atoms:
Nd1 0.2500 0.2500 0.2500  9 O 2.39-2.59
Li1 0.0000 0.0000 0.0000  6 O 1.94
O1 0.7500 0.3241 0.1759  2 Li 1.94
O2 0.1759 0.7500 0.3241  2 Li 1.94
Nd2 0.7500 0.7500 0.7500  9 O 2.39-2.59
O3 0.3241 0.1759 0.7500  2 Li 1.94
O4 0.2500 0.6759 0.8241  2 Li 1.94
O5 0.8241 0.2500 0.6759  2 Li 1.94
O6 0.6759 0.8241 0.2500  2 Li 1.94
Li2 0.5000 0.5000 0.5000  6 O 1.94

=====

No. 6
Computed, not measured: a relaxed structure of Li2Nd2O5 at the PBE level of DFT.

Calculated values
**E above lowest polymorph**: 2.85 eV/f.u.
**DFT total energy**: -55.2 eV per cell

a b c (Å): 8.3046 4.2283 4.2283
angles (deg): 90.00 90.00 90.00
Closest atoms and distances in Å follow each position.
Fractional coordinates of all 9 atoms:
O1 0.8658 0.5000 0.0000  1 O 2.23, 2 Nd 2.25, 2 Li 2.39
Li1 0.0000 0.0000 0.0000  8 O 2.39
Li2 0.5000 0.0000 0.0000  4 O 2.99
O2 0.8658 0.0000 0.5000  1 O 2.23, 2 Nd 2.25, 2 Li 2.39
Nd1 0.7727 0.5000 0.5000  5 O 2.25-2.26
O3 0.5000 0.5000 0.5000  2 Nd 2.26
O4 0.1342 0.0000 0.5000  1 O 2.23, 2 Nd 2.25, 2 Li 2.39
O5 0.1342 0.5000 0.0000  1 O 2.23, 2 Nd 2.25, 2 Li 2.39
Nd2 0.2273 0.5000 0.5000  5 O 2.25-2.26

=====

No. 7
Computed, not measured: a relaxed structure of LiNdO3 at the PBE level of DFT.

Calculated values
**DFT total energy**: -60.7 eV per cell

a b c (Å): 5.9333 5.9333 5.9333
angles (deg): 58.55 58.55 58.55
Closest atoms and distances in Å follow each position.
Fractional coordinates of all 10 atoms:
O1 0.2500 0.5702 0.9298  1 Li 1.86
Li1 0.7500 0.7500 0.7500  3 O 1.86
O2 0.4298 0.0702 0.7500  1 Li 1.86
O3 0.9298 0.2500 0.5702  1 Li 1.86
O4 0.0702 0.7500 0.4298  1 Li 1.86
Li2 0.2500 0.2500 0.2500  3 O 1.86
O5 0.5702 0.9298 0.2500  1 Li 1.86
O6 0.7500 0.4298 0.0702  1 Li 1.86
Nd1 0.0000 0.0000 0.0000  6 O 2.32
Nd2 0.5000 0.5000 0.5000  6 O 2.32

=====

No. 8
Computed, not measured: a relaxed structure of LiNdPO at the PBE level of DFT.

Calculated values
**E above lowest polymorph**: 0.48 eV/f.u.
**DFT total energy**: -46.8 eV per cell

a b c (Å): 3.6871 7.5638 5.7925
angles (deg): 90.00 90.00 90.00
Closest atoms and distances in Å follow each position.
Fractional coordinates of all 8 atoms:
Nd1 0.5000 0.2878 0.9265  2 O 2.22
O1 0.0000 0.1298 0.8721  2 Li 1.91-1.99
Li1 0.0000 0.9097 0.0328  2 O 1.91-1.99
Nd2 0.5000 0.7122 0.4265  2 O 2.22
P1 0.5000 0.6698 0.9226  2 Li 2.66, 3 Nd 2.89-2.94
O2 0.0000 0.8702 0.3721  2 Li 1.91-1.99
P2 0.5000 0.3302 0.4226  2 Li 2.66, 3 Nd 2.89-2.94
Li2 0.0000 0.0903 0.5328  2 O 1.91-1.99

=====

No. 9
Computed, not measured: a relaxed structure of LiNdPO at the PBE level of DFT.

Calculated values
**E above lowest polymorph**: 0.00 eV/f.u.
**DFT total energy**: -47.7 eV per cell

a b c (Å): 3.9751 3.9751 8.8827
angles (deg): 90.00 90.00 90.00
Closest atoms and distances in Å follow each position.
Fractional coordinates of all 8 atoms:
O1 0.7500 0.2500 0.0000  4 Nd 2.33
P1 0.7500 0.7500 0.3327  4 Li 2.48
Nd1 0.2500 0.2500 0.1364  4 O 2.33
P2 0.2500 0.2500 0.6673  4 Li 2.48
Li1 0.7500 0.2500 0.5000  4 P 2.48
Li2 0.2500 0.7500 0.5000  4 P 2.48
O2 0.2500 0.7500 0.0000  4 Nd 2.33
Nd2 0.7500 0.7500 0.8636  4 O 2.33

=====

Copy entry 5 word for word.
Computed, not measured: a relaxed structure of LiNdO3 at the PBE level of DFT.

Calculated values
**DFT total energy**: -62.5 eV per cell

a b c (Å): 5.1042 5.1042 5.1042
angles (deg): 66.62 66.62 66.62
Closest atoms and distances in Å follow each position.
Fractional coordinates of all 10 atoms:
Nd1 0.2500 0.2500 0.2500  9 O 2.39-2.59
Li1 0.0000 0.0000 0.0000  6 O 1.94
O1 0.7500 0.3241 0.1759  2 Li 1.94
O2 0.1759 0.7500 0.3241  2 Li 1.94
Nd2 0.7500 0.7500 0.7500  9 O 2.39-2.59
O3 0.3241 0.1759 0.7500  2 Li 1.94
O4 0.2500 0.6759 0.8241  2 Li 1.94
O5 0.8241 0.2500 0.6759  2 Li 1.94
O6 0.6759 0.8241 0.2500  2 Li 1.94
Li2 0.5000 0.5000 0.5000  6 O 1.94

=====

- Number 5 is which compound?
  LiNdO3